This record from the Alexandria database describes Ca2CeHg6 after structural relaxation. The functional is PBE-GGA. Values from VASP.

The value obtained for the energy relative to the elements is -0.41 eV/atom. The calculation puts the density of states at the Fermi level at 9.15 states/eV/f.u. The calculation puts the size of the total moment at 1.26 μB per formula unit.

Structure (Quantum ESPRESSO input):
```
&SYSTEM
  ibrav = 0, nat = 9, ntyp = 3
/
ATOMIC_SPECIES
Ca 40.08 Ca.upf
Ce 140.12 Ce.upf
Hg 200.59 Hg.upf
CELL_PARAMETERS angstrom
8.7482 0.0000 0.0000
-4.3741 7.5761 0.0000
0.0000 0.0000 3.5056
ATOMIC_POSITIONS crystal
Ca 0.3333 0.6667 0.0000
Ca 0.6667 0.3333 0.0000
Ce 0.0000 0.0000 0.0000
Hg 0.0000 0.3351 0.5000
Hg 0.0000 0.6649 0.5000
Hg 0.3351 0.0000 0.5000
Hg 0.3351 0.3351 0.5000
Hg 0.6649 0.0000 0.5000
Hg 0.6649 0.6649 0.5000
```



This record from the Alexandria database describes CaCeHg5 after structural relaxation. The functional is PBE-GGA. Values from VASP.

The value obtained for the energy relative to the elements is -0.26 eV/atom. The calculation puts the density of states at the Fermi level at 10.66 states/eV/f.u. The calculation puts the size of the total moment at 1.40 μB per formula unit.

Structure (Quantum ESPRESSO input):
```
&SYSTEM
  ibrav = 0, nat = 7, ntyp = 3
/
ATOMIC_SPECIES
Ca 40.08 Ca.upf
Ce 140.12 Ce.upf
Hg 200.59 Hg.upf
CELL_PARAMETERS angstrom
4.6769 0.0000 0.0000
0.0000 4.6769 0.0000
0.0000 0.0000 9.0810
ATOMIC_POSITIONS crystal
Ca 0.0000 0.0000 0.0000
Ce 0.5000 0.5000 0.5000
Hg 0.0000 0.0000 0.5000
Hg 0.0000 0.5000 0.2396
Hg 0.0000 0.5000 0.7604
Hg 0.5000 0.0000 0.2396
Hg 0.5000 0.0000 0.7604
```



This record from the Alexandria database describes CaCe2Hg after structural relaxation. The functional is PBE-GGA. Values from VASP.

The value obtained for the energy relative to the elements is 0.12 eV/atom. The calculation puts the density of states at the Fermi level at 10.47 states/eV/f.u. The calculation puts the size of the total moment at 1.44 μB per formula unit.

Structure (Quantum ESPRESSO input):
```
&SYSTEM
  ibrav = 0, nat = 4, ntyp = 3
/
ATOMIC_SPECIES
Ca 40.08 Ca.upf
Ce 140.12 Ce.upf
Hg 200.59 Hg.upf
CELL_PARAMETERS angstrom
1.6841 0.9723 12.1092
-1.6841 0.9723 12.1092
0.0000 -1.9446 12.1092
ATOMIC_POSITIONS crystal
Ca 0.0000 0.0000 0.0000
Ce 0.0929 0.0929 0.0929
Ce 0.9071 0.9071 0.9071
Hg 0.5000 0.5000 0.5000
```



This record from the Alexandria database describes Ca3CeHg12 after structural relaxation. The functional is PBE-GGA. Values from VASP.

The value obtained for the energy relative to the elements is -0.34 eV/atom. The calculation puts the density of states at the Fermi level at 16.13 states/eV/f.u. The calculation puts the size of the total moment at 1.67 μB per formula unit.

Structure (Quantum ESPRESSO input):
```
&SYSTEM
  ibrav = 0, nat = 16, ntyp = 3
/
ATOMIC_SPECIES
Ca 40.08 Ca.upf
Ce 140.12 Ce.upf
Hg 200.59 Hg.upf
CELL_PARAMETERS angstrom
4.7237 0.0000 0.0000
0.0000 4.7237 0.0000
0.0000 0.0000 18.7828
ATOMIC_POSITIONS crystal
Ca 0.0000 0.0000 0.0000
Ca 0.0000 0.0000 0.2477
Ca 0.0000 0.0000 0.7523
Ce 0.0000 0.0000 0.5000
Hg 0.0000 0.5000 0.1245
Hg 0.0000 0.5000 0.3750
Hg 0.0000 0.5000 0.6250
Hg 0.0000 0.5000 0.8755
Hg 0.5000 0.0000 0.1245
Hg 0.5000 0.0000 0.3750
Hg 0.5000 0.0000 0.6250
Hg 0.5000 0.0000 0.8755
Hg 0.5000 0.5000 0.0000
Hg 0.5000 0.5000 0.2503
Hg 0.5000 0.5000 0.5000
Hg 0.5000 0.5000 0.7497
```



This record from the Alexandria database describes CaCeHg2 after structural relaxation. The functional is PBE-GGA. Values from VASP.

The value obtained for the energy relative to the elements is -0.44 eV/atom. The energy relative to the lowest polymorph listed for this composition comes out at 0 meV per atom. The calculation puts the density of states at the Fermi level at 9.33 states/eV/f.u. The calculation puts the size of the total moment at 0.82 μB per formula unit.

Structure (Quantum ESPRESSO input):
```
&SYSTEM
  ibrav = 0, nat = 4, ntyp = 3
/
ATOMIC_SPECIES
Ca 40.08 Ca.upf
Ce 140.12 Ce.upf
Hg 200.59 Hg.upf
CELL_PARAMETERS angstrom
0.0000 3.8078 3.8078
3.8078 0.0000 3.8078
3.8078 3.8078 0.0000
ATOMIC_POSITIONS crystal
Ca 0.0000 0.0000 0.0000
Ce 0.5000 0.5000 0.5000
Hg 0.2500 0.2500 0.2500
Hg 0.7500 0.7500 0.7500
```



This record from the Alexandria database describes CaCe2Hg8 after structural relaxation. The functional is PBE-GGA. Values from VASP.

The value obtained for the energy relative to the elements is -0.30 eV/atom. The calculation puts the density of states at the Fermi level at 16.95 states/eV/f.u. The calculation puts the size of the total moment at 1.99 μB per formula unit.

Structure (Quantum ESPRESSO input):
```
&SYSTEM
  ibrav = 0, nat = 11, ntyp = 3
/
ATOMIC_SPECIES
Ca 40.08 Ca.upf
Ce 140.12 Ce.upf
Hg 200.59 Hg.upf
CELL_PARAMETERS angstrom
-2.6247 3.6710 7.5470
2.6247 -3.6710 7.5470
2.6247 3.6710 -7.5470
ATOMIC_POSITIONS crystal
Ca 0.0000 0.0000 0.0000
Ce 0.3036 0.3036 0.0000
Ce 0.6964 0.6964 0.0000
Hg 0.1453 0.8567 0.2886
Hg 0.1601 0.6601 0.5000
Hg 0.2901 0.5000 0.7901
Hg 0.4318 0.1433 0.2886
Hg 0.5682 0.8567 0.7114
Hg 0.7099 0.5000 0.2099
Hg 0.8399 0.3399 0.5000
Hg 0.8547 0.1433 0.7114
```



This record from the Alexandria database describes Ca2CeHg after structural relaxation. The functional is PBE-GGA. Values from VASP.

The value obtained for the energy relative to the elements is 0.06 eV/atom. The energy relative to the lowest polymorph listed for this composition comes out at 172 meV per atom. The calculation puts the density of states at the Fermi level at 8.51 states/eV/f.u. The calculation puts the size of the total moment at 1.71 μB per formula unit.

Structure (Quantum ESPRESSO input):
```
&SYSTEM
  ibrav = 0, nat = 4, ntyp = 3
/
ATOMIC_SPECIES
Ca 40.08 Ca.upf
Ce 140.12 Ce.upf
Hg 200.59 Hg.upf
CELL_PARAMETERS angstrom
1.8042 1.0416 11.8549
-1.8042 1.0416 11.8549
0.0000 -2.0833 11.8549
ATOMIC_POSITIONS crystal
Ca 0.0985 0.0985 0.0985
Ca 0.9015 0.9015 0.9015
Ce 0.0000 0.0000 0.0000
Hg 0.5000 0.5000 0.5000
```



This record from the Alexandria database describes CaCe3Hg7 after structural relaxation. The functional is PBE-GGA. Values from VASP.

The value obtained for the energy relative to the elements is -0.25 eV/atom. The calculation puts the density of states at the Fermi level at 22.32 states/eV/f.u. The calculation puts the size of the total moment at 3.73 μB per formula unit.

Structure (Quantum ESPRESSO input):
```
&SYSTEM
  ibrav = 0, nat = 22, ntyp = 3
/
ATOMIC_SPECIES
Ca 40.08 Ca.upf
Ce 140.12 Ce.upf
Hg 200.59 Hg.upf
CELL_PARAMETERS angstrom
1.7537 -11.0606 0.0000
1.7537 11.0606 0.0000
0.0000 0.0000 15.5477
ATOMIC_POSITIONS crystal
Ca 0.0181 0.9819 0.7500
Ca 0.9819 0.0181 0.2500
Ce 0.1157 0.8843 0.0312
Ce 0.1157 0.8843 0.4688
Ce 0.2385 0.7615 0.7500
Ce 0.7615 0.2385 0.2500
Ce 0.8843 0.1157 0.5312
Ce 0.8843 0.1157 0.9688
Hg 0.2551 0.7449 0.0776
Hg 0.2551 0.7449 0.4224
Hg 0.3750 0.6250 0.1547
Hg 0.3750 0.6250 0.3453
Hg 0.3870 0.6130 0.7500
Hg 0.4995 0.5005 0.0909
Hg 0.4995 0.5005 0.4091
Hg 0.5005 0.4995 0.5909
Hg 0.5005 0.4995 0.9091
Hg 0.6130 0.3870 0.2500
Hg 0.6250 0.3750 0.6547
Hg 0.6250 0.3750 0.8453
Hg 0.7449 0.2551 0.5776
Hg 0.7449 0.2551 0.9224
```



This record from the Alexandria database describes CaCe2Hg4 after structural relaxation. The functional is PBE-GGA. Values from VASP.

The value obtained for the energy relative to the elements is -0.25 eV/atom. The energy relative to the lowest polymorph listed for this composition comes out at 0 meV per atom. The calculation puts the density of states at the Fermi level at 18.36 states/eV/f.u. The calculation puts the size of the total moment at 2.01 μB per formula unit.

Structure (Quantum ESPRESSO input):
```
&SYSTEM
  ibrav = 0, nat = 7, ntyp = 3
/
ATOMIC_SPECIES
Ca 40.08 Ca.upf
Ce 140.12 Ce.upf
Hg 200.59 Hg.upf
CELL_PARAMETERS angstrom
2.6292 1.5180 8.7282
-2.6292 1.5180 8.7282
0.0000 -3.0359 8.7282
ATOMIC_POSITIONS crystal
Ca 0.0000 0.0000 0.0000
Ce 0.2470 0.2470 0.2470
Ce 0.7530 0.7530 0.7530
Hg 0.1259 0.1259 0.1259
Hg 0.3753 0.3753 0.3753
Hg 0.6247 0.6247 0.6247
Hg 0.8741 0.8741 0.8741
```



This record from the Alexandria database describes Ca4CeHg5 after structural relaxation. The functional is PBE-GGA. Values from VASP.

The value obtained for the energy relative to the elements is -0.50 eV/atom. The calculation puts the density of states at the Fermi level at 14.17 states/eV/f.u. The calculation puts the size of the total moment at 1.32 μB per formula unit.

Structure (Quantum ESPRESSO input):
```
&SYSTEM
  ibrav = 0, nat = 10, ntyp = 3
/
ATOMIC_SPECIES
Ca 40.08 Ca.upf
Ce 140.12 Ce.upf
Hg 200.59 Hg.upf
CELL_PARAMETERS angstrom
3.7836 0.0000 0.0000
0.0000 3.7836 0.0000
0.0000 0.0000 19.2172
ATOMIC_POSITIONS crystal
Ca 0.0000 0.0000 0.0993
Ca 0.0000 0.0000 0.2969
Ca 0.0000 0.0000 0.7031
Ca 0.0000 0.0000 0.9007
Ce 0.0000 0.0000 0.5000
Hg 0.5000 0.5000 0.0000
Hg 0.5000 0.5000 0.1979
Hg 0.5000 0.5000 0.3980
Hg 0.5000 0.5000 0.6020
Hg 0.5000 0.5000 0.8021
```



This record from the Alexandria database describes Ca2Ce2Hg7 after structural relaxation. The functional is PBE-GGA. Values from VASP.

The value obtained for the energy relative to the elements is -0.09 eV/atom. The calculation puts the density of states at the Fermi level at 20.93 states/eV/f.u. The calculation puts the size of the total moment at 2.65 μB per formula unit.

Structure (Quantum ESPRESSO input):
```
&SYSTEM
  ibrav = 0, nat = 11, ntyp = 3
/
ATOMIC_SPECIES
Ca 40.08 Ca.upf
Ce 140.12 Ce.upf
Hg 200.59 Hg.upf
CELL_PARAMETERS angstrom
4.8325 -5.6383 0.0000
4.8325 5.6383 0.0000
0.0000 0.0000 6.6563
ATOMIC_POSITIONS crystal
Ca 0.1920 0.1920 0.0000
Ca 0.8080 0.8080 0.0000
Ce 0.2806 0.7194 0.5000
Ce 0.7194 0.2806 0.5000
Hg 0.0000 0.0000 0.5000
Hg 0.0000 0.5000 0.2170
Hg 0.0000 0.5000 0.7830
Hg 0.5000 0.0000 0.2170
Hg 0.5000 0.0000 0.7830
Hg 0.5000 0.5000 0.2179
Hg 0.5000 0.5000 0.7821
```



This record from the Alexandria database describes CaCe5Hg6 after structural relaxation. The functional is PBE-GGA. Values from VASP.

The value obtained for the energy relative to the elements is -0.33 eV/atom. The calculation puts the density of states at the Fermi level at 43.11 states/eV/f.u. The calculation puts the size of the total moment at 4.39 μB per formula unit.

Structure (Quantum ESPRESSO input):
```
&SYSTEM
  ibrav = 0, nat = 12, ntyp = 3
/
ATOMIC_SPECIES
Ca 40.08 Ca.upf
Ce 140.12 Ce.upf
Hg 200.59 Hg.upf
CELL_PARAMETERS angstrom
2.7090 -8.1684 0.0000
2.7090 8.1684 0.0000
0.0000 0.0000 7.5641
ATOMIC_POSITIONS crystal
Ca 0.0000 0.0000 0.0000
Ce 0.0000 0.0000 0.5000
Ce 0.3271 0.6729 0.5000
Ce 0.3335 0.6665 0.0000
Ce 0.6665 0.3335 0.0000
Ce 0.6729 0.3271 0.5000
Hg 0.1626 0.8374 0.2453
Hg 0.1626 0.8374 0.7547
Hg 0.5000 0.5000 0.2525
Hg 0.5000 0.5000 0.7475
Hg 0.8374 0.1626 0.2453
Hg 0.8374 0.1626 0.7547
```